[1]
VASP calculation (GGA-PBE) on a geometry-optimized CdGaI5 structure.

calculated total energy = -2.13 eV per atom
M_tot = 0.00 μB/f.u.

Structure (POSCAR):
```
CdGaI5
1.0
-4.460 -6.736 -0.769
6.815 -4.376 0.549
-2.085 4.574 9.636
Cd Ga I
2 2 10
direct
0.500 0.000 0.000
0.500 0.000 0.500
0.883 0.617 0.250
0.117 0.383 0.750
0.758 0.723 0.042
0.229 0.661 0.342
0.406 0.093 0.250
0.778 0.743 0.458
0.222 0.257 0.542
0.839 0.271 0.158
0.161 0.729 0.842
0.594 0.907 0.750
0.771 0.339 0.658
0.242 0.277 0.958
```



[2]
VASP calculation (GGA-PBE) on a geometry-optimized CdGa2I4 structure.

calculated total energy = -2.20 eV per atom
M_tot = 0.00 μB/f.u.
DOS(E_F) = 0.0 states/eV per cell

Structure (POSCAR):
```
CdGa2I4
1.0
6.225 0.000 0.000
0.000 6.225 0.000
-3.112 -3.112 7.305
I Ga Cd
4 2 1
direct
0.803 0.803 0.606
0.197 0.197 0.394
0.000 0.500 0.000
0.500 0.000 0.000
0.605 0.605 0.211
0.395 0.395 0.789
0.000 0.000 0.000
```



[3]
VASP calculation (GGA-PBE) on a geometry-optimized CdGa2I structure.

calculated total energy = -1.99 eV per atom
M_tot = 0.00 μB/f.u.
DOS(E_F) = 5.4 states/eV per cell

Structure (POSCAR):
```
CdGa2I
1.0
-4.697 -3.821 2.542
0.344 -3.920 -5.257
2.534 -7.604 1.734
I Ga Cd
2 4 2
direct
0.000 0.000 0.000
0.750 0.250 0.500
0.580 0.125 0.250
0.170 0.625 0.250
0.375 0.420 0.750
0.875 0.830 0.750
0.500 0.500 0.000
0.250 0.750 0.500
```



[4]
VASP calculation (GGA-PBE) on a geometry-optimized CdGa2I6 structure.

calculated total energy = -2.31 eV per atom
M_tot = 0.00 μB/f.u.
DOS(E_F) = 0.0 states/eV per cell

Structure (POSCAR):
```
CdGa2I6
1.0
7.291 -0.367 0.843
1.398 11.003 1.785
-0.313 -1.542 11.123
Cd Ga I
2 4 12
direct
0.250 0.003 0.997
0.750 0.997 0.003
0.237 0.500 0.655
0.263 0.345 0.500
0.763 0.500 0.345
0.737 0.655 0.500
0.371 0.707 0.570
0.129 0.430 0.293
0.629 0.293 0.430
0.871 0.570 0.707
0.852 0.858 0.455
0.648 0.545 0.142
0.148 0.142 0.545
0.352 0.455 0.858
0.032 0.806 0.002
0.468 0.998 0.194
0.968 0.194 0.998
0.532 0.002 0.806
```



[5]
VASP calculation (GGA-PBE) on a geometry-optimized Cd2GaI structure.

calculated total energy = -1.39 eV per atom
M_tot = 0.00 μB/f.u.
DOS(E_F) = 0.7 states/eV per cell

Structure (POSCAR):
```
Cd2GaI
1.0
0.000 3.934 3.934
3.934 0.000 3.934
3.934 3.934 0.000
I Ga Cd
1 1 2
direct
0.500 0.500 0.500
0.000 0.000 0.000
0.250 0.250 0.250
0.750 0.750 0.750
```



[6]
VASP calculation (GGA-PBE) on a geometry-optimized CdGa2I4 structure.

calculated total energy = -2.31 eV per atom
M_tot = 0.00 μB/f.u.

Structure (POSCAR):
```
CdGa2I4
1.0
-3.503 -2.181 -1.733
1.149 -6.933 6.403
-7.997 6.292 8.248
I Ga Cd
8 4 2
direct
0.000 0.556 0.772
0.000 0.444 0.228
0.000 0.056 0.728
0.000 0.944 0.272
0.500 0.783 0.529
0.500 0.217 0.471
0.500 0.717 0.029
0.500 0.283 0.971
0.500 0.802 0.774
0.500 0.198 0.226
0.500 0.302 0.726
0.500 0.698 0.274
0.000 0.000 0.500
0.000 0.500 0.000
```



[7]
VASP calculation (GGA-PBE) on a geometry-optimized Cd3GaI structure.

calculated total energy = -1.49 eV per atom
M_tot = 0.00 μB/f.u.
DOS(E_F) = 0.5 states/eV per cell

Structure (POSCAR):
```
Cd3GaI
1.0
-3.037 -0.580 -4.310
3.735 -3.040 -2.223
-2.227 -4.307 2.149
I Ga Cd
1 1 3
direct
0.500 0.500 0.500
0.000 0.000 0.000
0.000 0.500 0.000
0.000 0.000 0.500
0.500 0.000 0.000
```



[8]
VASP calculation (GGA-PBE) on a geometry-optimized CdGa2I structure.

calculated total energy = -1.97 eV per atom
M_tot = 0.00 μB/f.u.
DOS(E_F) = 3.5 states/eV per cell

Structure (POSCAR):
```
CdGa2I
1.0
3.393 -4.148 -0.563
2.393 -2.131 4.332
-1.425 -4.900 1.728
I Ga Cd
1 2 1
direct
0.500 0.500 0.500
0.250 0.250 0.250
0.750 0.750 0.750
0.000 0.000 0.000
```



[9]
VASP calculation (GGA-PBE) on a geometry-optimized Cd3GaI structure.

calculated total energy = -0.80 eV per atom
M_tot = 0.00 μB/f.u.
DOS(E_F) = 2.8 states/eV per cell

Structure (POSCAR):
```
Cd3GaI
1.0
-3.719 3.261 3.651
1.853 -3.307 4.840
4.531 4.029 1.018
I Ga Cd
1 1 3
direct
0.000 0.000 0.000
0.500 0.500 0.500
0.000 0.500 0.000
0.000 0.000 0.500
0.500 0.000 0.000
```



[10]
VASP calculation (GGA-PBE) on a geometry-optimized CdGa2I6 structure.

calculated total energy = -2.29 eV per atom
M_tot = 0.00 μB/f.u.
DOS(E_F) = 0.0 states/eV per cell

Structure (POSCAR):
```
CdGa2I6
1.0
-1.944 6.296 -3.612
-10.365 -0.571 3.165
4.050 11.681 4.697
Cd Ga I
2 4 12
direct
0.228 0.201 0.810
0.772 0.799 0.190
0.156 0.614 0.843
0.438 0.217 0.412
0.844 0.386 0.157
0.562 0.783 0.588
0.201 0.798 0.619
0.346 0.384 0.327
0.799 0.202 0.381
0.654 0.616 0.673
0.870 0.720 0.358
0.668 0.589 0.076
0.130 0.280 0.642
0.332 0.411 0.924
0.155 0.841 0.031
0.389 0.990 0.310
0.845 0.159 0.969
0.611 0.010 0.690
```



[11]
VASP calculation (GGA-PBE) on a geometry-optimized CdGaIr2I structure.

calculated total energy = -3.60 eV per atom
M_tot = 0.00 μB/f.u.
DOS(E_F) = 3.3 states/eV per cell

Structure (POSCAR):
```
CdGaIr2I
1.0
-0.056 -4.600 -1.040
4.147 0.556 -2.683
2.600 -0.898 3.832
I Ir Ga Cd
1 2 1 1
direct
0.500 0.500 0.500
0.000 0.000 0.500
0.500 0.000 0.000
0.000 0.000 0.000
0.000 0.500 0.000
```



[12]
VASP calculation (GGA-PBE) on a geometry-optimized KCd2GaI structure.

calculated total energy = -1.72 eV per atom
M_tot = 0.53 μB/f.u.
DOS(E_F) = 1.8 states/eV per cell

Structure (POSCAR):
```
KCd2GaI
1.0
-2.773 2.429 3.574
-1.774 -6.252 2.872
4.127 0.228 3.046
I K Ga Cd
1 1 1 2
direct
0.500 0.500 0.500
0.000 0.500 0.000
0.000 0.000 0.000
0.000 0.000 0.500
0.500 0.000 0.000
```



- Number 6 is which compound?
  CdGa2I4



- The highest M_tot belongs to which entry?
  KCd2GaI



- Which formula does entry 7 have?
  Cd3GaI